The following is a DFT calculation (PBE with a Hubbard U) of CsCoAg2F8 after structural relaxation.

Geometry as POSCAR:
```
CsCoAg2F8
1.0
5.351 0.000 0.000
0.140 5.457 0.000
1.653 2.204 7.176
Cs Co Ag F
1 1 2 8
direct
0.000 0.000 0.000
0.000 0.000 0.500
0.500 0.359 0.238
0.500 0.641 0.762
0.152 0.757 0.674
0.224 0.258 0.500
0.245 0.940 0.309
0.268 0.505 0.038
0.732 0.495 0.962
0.755 0.060 0.691
0.776 0.742 0.500
0.848 0.243 0.326
```

Values from the calculation:
Its total magnetization is 0.01 μB/f.u. The electronic total energy is -3.826 eV per atom. Its calculated volume is 17.5 Å³/atom.